Density functional theory data (PBE+U) for crystalline NpSc2CoO8 at its relaxed geometry.

Properties
Calculated volume: 145.0 Å³ per cell
Crystal system: orthorhombic
Raw total energy: -8.3715 eV per atom
Magnetization: 0.05 Bohr magnetons per cell

Structure (POSCAR):
```
NpSc2CoO8
1.0
4.813 -0.102 -0.003
-0.088 4.812 -0.005
0.004 0.007 6.263
Np Sc Co O
1 2 1 8
direct
0.000 0.000 0.000
0.500 0.500 0.730
0.500 0.500 0.270
0.000 0.000 0.500
0.182 0.817 0.256
0.699 0.700 0.000
0.818 0.183 0.256
0.818 0.183 0.744
0.301 0.300 0.000
0.182 0.817 0.744
0.709 0.709 0.500
0.291 0.291 0.500
```